Entry 1:
This record from Alexandria via LeMat-Bulk describes crystalline KFeGeOs2 at its relaxed geometry. The functional is PBE.

Computed properties:
The magnetic moment comes out at 0.292 μB per formula unit. The energy of formation from the pure elements comes out at 3.70 eV/atom.

```
KFeGeOs2
1.0
4.568 0.000 0.000
0.000 4.568 0.000
0.000 0.000 4.840
K Fe Ge Os
1 1 1 2
Cartesian
0.000 0.000 0.000
2.284 2.284 2.420
0.000 0.000 2.420
0.000 2.284 0.000
2.284 0.000 0.000
```



Entry 2:
This record from Alexandria via LeMat-Bulk describes crystalline K2FeGeS4 at its relaxed geometry. The functional is PBE.

Computed properties:
The magnetic moment comes out at 4.000 μB per formula unit. For the raw formation energy, the calculation gives -5.847 eV/f.u.

```
K2FeGeS4
1.0
0.000 6.591 11.294
3.051 0.000 11.294
3.051 6.591 0.000
K Fe Ge S
4 2 2 8
Cartesian
2.288 4.943 1.248
3.814 8.239 6.895
2.288 4.943 15.693
3.814 8.239 21.341
0.763 1.648 2.824
5.339 11.535 19.765
2.288 4.943 8.471
3.814 8.239 14.118
2.311 2.896 3.977
3.791 6.191 9.624
2.265 6.991 3.977
2.265 2.896 12.964
3.836 10.287 9.624
3.836 6.191 18.611
2.311 6.991 12.964
3.791 10.287 18.611
```



Entry 3:
This record from Alexandria via LeMat-Bulk describes crystalline K2FeGeSe4 at its relaxed geometry. The functional is PBE.

Computed properties:
The magnetic moment comes out at 4.011 μB per formula unit. For the raw formation energy, the calculation gives -5.265 eV/f.u.

```
K2FeGeSe4
1.0
0.000 6.797 11.729
3.219 0.000 11.729
3.219 6.797 0.000
K Fe Ge Se
4 2 2 8
Cartesian
2.414 5.097 1.329
4.024 8.496 7.193
2.414 5.097 16.264
4.024 8.496 22.128
0.805 1.699 2.932
5.634 11.894 20.525
2.414 5.097 8.797
4.024 8.496 14.661
2.402 3.025 4.173
4.037 6.423 10.037
2.427 7.170 4.173
2.427 3.025 13.420
4.012 10.568 10.037
4.012 6.423 19.284
2.402 7.170 13.420
4.037 10.568 19.284
```



Entry 4:
This record from Alexandria via LeMat-Bulk describes crystalline KY2FeGe at its relaxed geometry. The functional is PBE.

Computed properties:
The magnetic moment comes out at 2.866 μB per formula unit. The energy of formation from the pure elements comes out at 1.74 eV/atom.

```
KY2FeGe
1.0
5.018 0.000 0.000
0.000 5.018 0.000
0.000 0.000 5.093
K Y Fe Ge
1 2 1 1
Cartesian
0.000 0.000 0.000
0.000 2.509 0.000
2.509 0.000 0.000
2.509 2.509 2.547
0.000 0.000 2.547
```



Entry 5:
This record from Alexandria via LeMat-Bulk describes crystalline LaFe2Ge7 at its relaxed geometry. The functional is PBE.

Computed properties:
The magnetic moment comes out at 0.831 μB per formula unit. The energy of formation from the pure elements comes out at 0.01 eV/atom.

```
LaFe2Ge7
1.0
4.246 -5.114 0.000
4.246 5.114 0.000
0.000 0.000 4.555
La Fe Ge
1 2 7
Cartesian
0.000 0.000 0.000
4.246 2.251 2.278
4.246 -2.251 2.278
1.818 1.285 2.278
1.818 -1.285 2.278
4.246 1.603 0.000
4.246 0.000 2.278
4.246 -1.603 0.000
6.674 1.285 2.278
6.674 -1.285 2.278
```



Entry 6:
This record from Alexandria via LeMat-Bulk describes crystalline LaFe3Ge at its relaxed geometry. The functional is PBE.

Computed properties:
The magnetic moment comes out at 6.804 μB per formula unit. The energy of formation from the pure elements comes out at 0.38 eV/atom.

```
LaFe3Ge
1.0
4.583 0.000 0.000
0.000 4.583 0.000
0.000 0.000 4.583
La Fe Ge
1 3 1
Cartesian
0.000 0.000 0.000
0.000 2.292 2.292
2.292 0.000 2.292
2.292 2.292 0.000
2.292 2.292 2.292
```